(1)
Compound: BeFe2Os
Source: Alexandria via LeMat-Bulk
Functional: GGA-PBE
Structure: optimized geometry

Structure (CIF):
```
data_BeFe2Os
_chemical_formula_sum 'Be1 Fe2 Os1'
_cell_length_a 2.622
_cell_length_b 2.622
_cell_length_c 6.264
_cell_angle_alpha 90.00
_cell_angle_beta 90.00
_cell_angle_gamma 90.00
_space_group_name_H-M_alt 'P 4/m m m'
_space_group_IT_number 123
_space_group_name_Hall '-P 4 2'
loop_
_atom_site_label
_atom_site_type_symbol
_atom_site_fract_x
_atom_site_fract_y
_atom_site_fract_z
Be1 Be 0.000 0.000 0.000
Fe1 Fe 0.500 0.500 0.215
Os1 Os 0.000 0.000 0.500
```

---

(2)
# Fe2CoCu | Alexandria via LeMat-Bulk | GGA-PBE | optimized geometry
# ΔE to the lowest computed polymorph: 21 meV/atom
data_Fe2CoCu
_chemical_formula_sum 'Fe2 Co1 Cu1'
_cell_length_a 2.528
_cell_length_b 3.615
_cell_length_c 5.064
_cell_angle_alpha 90.00
_cell_angle_beta 90.16
_cell_angle_gamma 90.00
_space_group_name_H-M_alt 'P 1 2/m 1'
_space_group_IT_number 10
loop_
_space_group_symop_operation_xyz
'x,y,z'
'-x,-y,-z'
'-x,y,-z'
'x,-y,z'
loop_
_atom_site_label
_atom_site_type_symbol
_atom_site_fract_x
_atom_site_fract_y
_atom_site_fract_z
Fe1 Fe 0.001 0.000 0.242
Co1 Co 0.500 0.500 0.000
Cu1 Cu 0.500 0.500 0.500

---

(3)
Compound: Zn4BiPt2
Source: Alexandria via LeMat-Bulk
Functional: GGA-PBE
Structure: optimized geometry

Structure (CIF):
```
data_Zn4BiPt2
_chemical_formula_sum 'Zn8 Bi2 Pt4'
_cell_length_a 5.164
_cell_length_b 5.164
_cell_length_c 13.018
_cell_angle_alpha 90.00
_cell_angle_beta 90.00
_cell_angle_gamma 90.00
_space_group_name_H-M_alt 'I 4/m m m'
_space_group_IT_number 139
_space_group_name_Hall '-I 4 2'
loop_
_atom_site_label
_atom_site_type_symbol
_atom_site_fract_x
_atom_site_fract_y
_atom_site_fract_z
Zn1 Zn 0.000 0.000 0.216
Zn2 Zn 0.000 0.500 0.000
Bi1 Bi 0.000 0.000 0.000
Pt1 Pt 0.000 0.000 0.402
```

---

(4)
# Nd6ErSc2 | Alexandria via LeMat-Bulk | GGA-PBE | optimized geometry
# ΔE to the lowest computed polymorph: 0 meV/atom
data_Nd6ErSc2
_chemical_formula_sum 'Nd6 Er1 Sc2'
_cell_length_a 8.712
_cell_length_b 3.541
_cell_length_c 9.644
_cell_angle_alpha 90.00
_cell_angle_beta 102.43
_cell_angle_gamma 90.00
_space_group_name_H-M_alt 'P 1 2/m 1'
_space_group_IT_number 10
loop_
_space_group_symop_operation_xyz
'x,y,z'
'-x,-y,-z'
'-x,y,-z'
'x,-y,z'
loop_
_atom_site_label
_atom_site_type_symbol
_atom_site_fract_x
_atom_site_fract_y
_atom_site_fract_z
Nd1 Nd 0.016 0.000 0.185
Nd2 Nd 0.317 0.500 0.022
Nd3 Nd 0.347 0.500 0.382
Er1 Er 0.000 0.500 0.500
Sc1 Sc 0.337 0.000 0.704

---

Theoretical density, respectively: 11.99, 8.40, 8.23, 6.42 g/cm³.
ΔE_f, respectively: -0.030, 0.088, 0.408, 0.080 eV per atom.
DOS(E_F), respectively: 3.53, 3.98, 3.89, 14.52 states/eV/cell.